Version A
Entry from Alexandria: K2HgP after structural relaxation (PBEsol).

a = 4.289 Å, b = 5.392 Å, c = 6.151 Å
α = 116.00°, β = 110.41°, γ = 90.00°
Fractional coordinates of all 4 atoms:
Hg1 0.188 0.688 0.376
K1 0.974 0.974 0.948
K2 0.783 0.283 0.566
P1 0.555 0.555 0.110

crystal system: orthorhombic
calculated volume: 117.9 Å³/cell
space-group type: Imm2

Version B
Entry from Alexandria: K2HgP after structural relaxation (PBEsol).

a = 3.348 Å, b = 5.290 Å, c = 6.022 Å
α = 90.00°, β = 90.09°, γ = 90.00°
Fractional coordinates of all 4 atoms:
Hg1 0.375 0.500 0.773
K1 0.876 0.000 0.947
K2 0.874 0.500 0.308
P1 0.376 0.000 0.472

crystal system: monoclinic
calculated volume: 106.7 Å³/cell
space-group type: Pm

Most stable: version A. Least stable: version B.

Version A
Entry from Alexandria: KHgP2S after structural relaxation (PBEsol).

a = 5.852 Å, b = 6.385 Å, c = 6.385 Å
α = 90.00°, β = 90.00°, γ = 90.00°
Site moments in Bohr magnetons follow the coordinates.
Fractional coordinates of all 5 atoms:
S1 0.500 0.000 0.000  0.73
P1 0.000 0.000 0.500  1.13
P2 0.000 0.500 0.000  1.13
K1 0.000 0.000 0.000  0.04
Hg1 0.500 0.500 0.500  0.08

crystal system: tetragonal
calculated volume: 238.6 Å³/cell
space-group type: P4/mmm

Version B
Entry from Alexandria: KHgP2S after structural relaxation (PBEsol).

a = 5.004 Å, b = 5.004 Å, c = 5.248 Å
α = 90.00°, β = 90.00°, γ = 90.00°
Site moments in Bohr magnetons follow the coordinates.
Fractional coordinates of all 5 atoms:
S1 0.000 0.000 0.500  0.12
P1 0.000 0.500 0.000  0.33
P2 0.500 0.000 0.000  0.33
K1 0.500 0.500 0.500  0.01
Hg1 0.000 0.000 0.000  0.02

crystal system: tetragonal
calculated volume: 131.4 Å³/cell
space-group type: P4/mmm

Most stable: version B. Least stable: version A.

Version A
Entry from Alexandria: KHg2Rh after structural relaxation (PBEsol).

a = 3.260 Å, b = 3.260 Å, c = 8.273 Å
α = 90.00°, β = 90.00°, γ = 90.00°
Fractional coordinates of all 4 atoms:
Hg1 0.000 0.000 0.694
Hg2 0.000 0.000 0.306
K1 0.500 0.500 0.000
Rh1 0.500 0.500 0.500

crystal system: tetragonal
calculated volume: 87.9 Å³/cell
space-group type: P4/mmm

Version B
Entry from Alexandria: KHg2Rh after structural relaxation (PBEsol).

a = 3.653 Å, b = 3.653 Å, c = 7.608 Å
α = 90.00°, β = 90.00°, γ = 90.00°
Fractional coordinates of all 4 atoms:
Hg1 0.000 0.000 0.933
Hg2 0.500 0.500 0.205
K1 0.000 0.000 0.513
Rh1 0.500 0.500 0.849

crystal system: tetragonal
calculated volume: 101.5 Å³/cell
space-group type: P4mm

Version C
Entry from Alexandria: KHg2Rh after structural relaxation (PBEsol).

a = 3.089 Å, b = 4.422 Å, c = 7.869 Å
α = 106.32°, β = 101.32°, γ = 90.00°
Fractional coordinates of all 4 atoms:
Hg1 0.917 0.917 0.833
Hg2 0.752 0.252 0.503
K1 0.568 0.568 0.136
Rh1 0.264 0.764 0.528

crystal system: orthorhombic
calculated volume: 101.0 Å³/cell
space-group type: Imm2

Most stable: version C. Least stable: version B.